# 1
Computed, not measured: a geometry-optimized Si2BrOF structure at the PBE-GGA level of DFT.

Properties
formation energy (no corrections)	0.7678	eV/atom
DOS at the Fermi energy	0.49	states/eV/atom
mass density	2.76	Mg/m³
calculated volume	102.76	Å³/cell
electronic total energy	-3.1019	eV/atom

The structure in POSCAR format:
```
Si2BrOF
1.0
5.052 0.000 0.000
0.000 5.052 0.000
0.000 0.000 4.026
Si Br O F
2 1 1 1
Cartesian
0.000 2.526 0.000
2.526 0.000 0.000
0.000 0.000 0.000
0.000 0.000 2.013
2.526 2.526 2.013
```


# 2
Computed, not measured: a geometry-optimized HgOs2 structure at the PBE-GGA level of DFT.

Properties
DOS at the Fermi energy	0.75	states/eV/atom
formation energy from the elements	2.62	eV per formula unit
mass density	20.03	Mg/m³
calculated volume	96.33	Å³/cell
electronic total energy	-6.7151	eV/atom

The structure in POSCAR format:
```
HgOs2
1.0
4.216 -2.470 0.000
4.216 2.470 0.000
-2.827 0.000 4.626
Hg Os
2 4
Cartesian
2.096 2.053 3.470
3.509 -2.053 1.157
2.151 0.382 1.161
0.738 -0.382 3.475
4.867 0.382 1.152
3.454 -0.382 3.465
```


# 3
Computed, not measured: a geometry-optimized Al2TlCl structure at the PBE-GGA level of DFT.

Properties
formation energy (no corrections)	0.1627	eV/atom
DOS at the Fermi energy	1.00	states/eV/atom
mass density	5.20	Mg/m³
calculated volume	93.78	Å³/cell
electronic total energy	-2.7618	eV/atom

The structure in POSCAR format:
```
Al2TlCl
1.0
0.000 3.606 3.606
3.606 0.000 3.606
3.606 3.606 0.000
Al Tl Cl
2 1 1
Cartesian
0.000 0.000 0.000
1.803 1.803 1.803
5.409 5.409 5.409
3.606 3.606 3.606
```


# 4
Computed, not measured: a geometry-optimized Nd6Ni2IrBr3 structure at the PBE-GGA level of DFT.

Properties
formation energy (no corrections)	-0.9034	eV/atom
DOS at the Fermi energy	0.72	states/eV/atom
mass density	6.89	Mg/m³
calculated volume	340.95	Å³/cell
electronic total energy	-5.4075	eV/atom

The structure in POSCAR format:
```
Nd6Ni2IrBr3
1.0
9.767 -2.062 0.000
9.767 2.062 0.000
-3.343 0.000 8.464
Nd Ni Ir Br
6 2 1 3
Cartesian
-0.476 0.000 1.881
4.792 0.000 3.774
3.792 0.000 7.447
12.399 0.000 1.018
11.399 0.000 4.691
16.666 0.000 6.583
2.164 0.000 2.878
14.026 0.000 5.587
9.767 0.000 0.000
0.486 0.000 7.041
8.095 0.000 4.232
15.705 0.000 1.424
```


# 5
Computed, not measured: a geometry-optimized LiCeI structure at the PBE-GGA level of DFT.

Properties
formation energy (no corrections)	-0.5937	eV/atom
DOS at the Fermi energy	1.14	states/eV/atom
mass density	5.11	Mg/m³
calculated volume	178.11	Å³/cell
electronic total energy	-3.7263	eV/atom

The structure in POSCAR format:
```
LiCeI
1.0
3.852 0.000 0.000
0.000 4.012 0.000
-0.358 0.000 11.527
Li Ce I
2 2 2
Cartesian
0.767 1.003 3.073
2.726 3.009 8.453
0.982 1.003 10.850
2.512 3.009 0.676
0.783 1.003 7.628
2.710 3.009 3.899
```